DFT (PBE-GGA) results for an optimized crystal structure of PaReB3.

Cell: 9.5886 9.5886 3.1144 Å, 90.00 90.00 156.68°
Atoms (fractional coordinates):
Pa: 0.0730 0.9270 0.7500
Pa: 0.9270 0.0730 0.2500
Re: 0.2042 0.7958 0.2500
Re: 0.7958 0.2042 0.7500
B: 0.3216 0.6784 0.2500
B: 0.3698 0.6302 0.7500
B: 0.4750 0.5250 0.7500
B: 0.5250 0.4750 0.2500
B: 0.6302 0.3698 0.2500
B: 0.6784 0.3216 0.7500

Values from the calculation:
energy of formation	-1.86	eV per formula unit
energy above the lowest structure with this stoichiometry	0.0	meV per atom
total DFT energy (no corrections)	-87.67	eV for the cell shown